Dy2Er3Lu2Te2Ir2: optimized geometry, PBE.

Size of the total moment   0.02 μB/f.u.
Distance to the lowest polymorph of the same formula   24.6 meV/atom

Cell and atoms, written as POSCAR:
```
Dy2Er3Lu2Te2Ir2
1.0
4.5599 0.6037 8.0942
-6.3404 6.4704 -2.1462
3.0102 -8.2038 3.2109
Er Lu Ir Te Dy
3 2 2 2 2
Direct
0.6326 0.2642 0.3684
0.8958 0.2642 0.6316
0.1840 0.6840 0.5000
0.2660 0.4126 0.8533
0.5593 0.4126 0.1467
0.4934 0.7560 0.7374
0.0187 0.7560 0.2626
0.5187 0.0187 0.5000
0.9178 0.9178 0.0000
0.8694 0.0542 0.8152
0.2389 0.0542 0.1848
```

HoTh: optimized geometry, PBE.

Size of the total moment   0.00 μB/f.u.
Formation energy   4.1 eV per formula unit
Distance to the lowest polymorph of the same formula   1999.3 meV/atom

Cell and atoms, written as POSCAR:
```
HoTh
1.0
0.0000 3.4769 3.4769
3.4769 0.0000 3.4769
3.4769 3.4769 0.0000
Th Ho
1 1
Direct
0.2500 0.2500 0.2500
0.0000 0.0000 0.0000
```

Sn4IrPt: optimized geometry, PBE.

Size of the total moment   0.00 μB/f.u.

Cell and atoms, written as POSCAR:
```
Sn4IrPt
1.0
4.5756 0.0000 0.0000
0.0000 4.5756 0.0000
0.0000 0.0000 6.4704
Sn Ir Pt
4 1 1
Direct
0.0000 0.5000 0.2536
0.5000 0.0000 0.7464
0.5000 0.0000 0.2536
0.0000 0.5000 0.7464
0.0000 0.0000 0.5000
0.5000 0.5000 0.0000
```

Sm2Al8Co: optimized geometry, PBE.

Size of the total moment   0.00 μB/f.u.

Cell and atoms, written as POSCAR:
```
Sm2Al8Co
1.0
-3.0065 2.9462 -0.6593
-2.0219 -1.2739 3.5274
5.9417 7.4254 6.0874
Sm Al Co
2 8 1
Direct
0.0000 0.0000 0.6940
0.0000 0.0000 0.3060
0.5000 0.0000 0.8856
0.5000 0.0000 0.5000
0.5000 0.5000 0.3051
0.0000 0.5000 0.8856
0.0000 0.5000 0.5000
0.0000 0.5000 0.1144
0.5000 0.0000 0.1144
0.5000 0.5000 0.6949
0.0000 0.0000 0.0000
```

Zr3Al3IrPt2: optimized geometry, PBE.

Size of the total moment   0.00 μB/f.u.

Cell and atoms, written as POSCAR:
```
Zr3Al3IrPt2
1.0
7.0868 0.0000 0.0000
-3.5434 6.1373 0.0000
0.0000 0.0000 3.7124
Pt Al Zr Ir
2 3 3 1
Direct
0.3333 0.6667 0.5000
0.6667 0.3333 0.5000
0.2525 0.0000 0.5000
0.0000 0.2525 0.5000
0.7475 0.7475 0.5000
0.5995 0.0000 0.0000
0.4005 0.4005 0.0000
0.0000 0.5995 0.0000
0.0000 0.0000 0.0000
```

LiReAgSe3: optimized geometry, PBE.

Size of the total moment   0.07 μB/f.u.

Cell and atoms, written as POSCAR:
```
LiReAgSe3
1.0
-9.0043 4.4698 0.3023
-2.9108 -5.9953 1.9449
3.0559 6.0559 1.4790
Li Se Ag Re
2 6 2 2
Direct
0.2500 0.2638 0.7362
0.7500 0.7362 0.2638
0.7500 0.0751 0.9249
0.4884 0.6401 0.3599
0.9884 0.3599 0.6401
0.0116 0.6401 0.3599
0.5116 0.3599 0.6401
0.2500 0.9249 0.0751
0.2500 0.5860 0.4140
0.7500 0.4140 0.5860
0.5000 0.0000 0.0000
0.0000 0.0000 0.0000
```

ReW2: optimized geometry, PBE.

Size of the total moment   0.02 μB/f.u.
Formation energy   1.0 eV per formula unit
Distance to the lowest polymorph of the same formula   293.8 meV/atom

Cell and atoms, written as POSCAR:
```
ReW2
1.0
2.6050 -4.4852 0.0000
2.6050 4.4852 0.0000
0.0000 0.0000 8.3977
W Re
8 4
Direct
0.6662 0.3338 0.4381
0.3338 0.6662 0.5619
0.3401 0.1688 0.7500
0.6599 0.8312 0.2500
0.6662 0.3338 0.0619
0.1688 0.3401 0.2500
0.8312 0.6599 0.7500
0.3338 0.6662 0.9381
0.8286 0.1714 0.7500
0.0000 0.0000 0.0000
0.1714 0.8286 0.2500
0.0000 0.0000 0.5000
```

ScBi2Au: optimized geometry, PBE.

Size of the total moment   0.01 μB/f.u.

Cell and atoms, written as POSCAR:
```
ScBi2Au
1.0
-4.1331 -0.7906 3.1325
0.5850 -2.6314 4.5004
-0.3407 2.5316 4.5820
Bi Sc Au
2 1 1
Direct
0.7500 0.7500 0.7500
0.5000 0.5000 0.5000
0.0000 0.0000 0.0000
0.2500 0.2500 0.2500
```

Tm3Hf3Bi2Pt: optimized geometry, PBE.

Size of the total moment   0.01 μB/f.u.
Distance to the lowest polymorph of the same formula   161.7 meV/atom

Cell and atoms, written as POSCAR:
```
Tm3Hf3Bi2Pt
1.0
8.1989 0.0000 0.0000
-4.0994 7.1004 0.0000
0.0000 0.0000 3.7405
Hf Bi Pt Tm
3 2 1 3
Direct
0.6061 0.0000 0.0000
0.3939 0.3939 0.0000
0.0000 0.6061 0.0000
0.6667 0.3333 0.5000
0.3333 0.6667 0.5000
0.0000 0.0000 0.0000
0.2521 0.0000 0.5000
0.7479 0.7479 0.5000
0.0000 0.2521 0.5000
```

Nd12TlNi6: optimized geometry, PBE.

Size of the total moment   0.01 μB/f.u.

Cell and atoms, written as POSCAR:
```
Nd12TlNi6
1.0
-5.0306 5.0306 5.0306
5.0306 -5.0306 5.0306
5.0306 5.0306 -5.0306
Nd Ni Tl
12 6 1
Direct
0.1862 0.6934 0.8796
0.8796 0.1862 0.6934
0.3066 0.4928 0.1862
0.1862 0.3066 0.4928
0.3066 0.1204 0.8138
0.8138 0.6934 0.5072
0.1204 0.8138 0.3066
0.6934 0.8796 0.1862
0.5072 0.8138 0.6934
0.8138 0.3066 0.1204
0.6934 0.5072 0.8138
0.4928 0.1862 0.3066
0.8789 0.3789 0.5000
0.5000 0.8789 0.3789
0.3789 0.5000 0.8789
0.5000 0.1211 0.6211
0.1211 0.6211 0.5000
0.6211 0.5000 0.1211
0.0000 0.0000 0.0000
```

NaCuB: optimized geometry, PBE.

Distance to the lowest polymorph of the same formula   0.0 meV/atom

Cell and atoms, written as POSCAR:
```
NaCuB
1.0
-2.6699 2.1793 1.9406
-2.0776 2.7595 -1.9267
-3.8599 -0.5410 -0.6723
Na Cu B
1 1 1
Direct
0.7500 0.7500 0.7500
0.2500 0.2500 0.2500
0.0000 0.0000 0.0000
```

NbCuSiPt: optimized geometry, PBE.

Size of the total moment   0.09 μB/f.u.
Distance to the lowest polymorph of the same formula   123.9 meV/atom

Cell and atoms, written as POSCAR:
```
NbCuSiPt
1.0
0.0000 3.1050 3.1050
3.1050 0.0000 3.1050
3.1050 3.1050 0.0000
Nb Cu Si Pt
1 1 1 1
Direct
0.5000 0.5000 0.5000
0.7500 0.7500 0.7500
0.0000 0.0000 0.0000
0.2500 0.2500 0.2500
```

E_tot, respectively: -5.999, -3.936, -5.546, -4.656, -7.429, -4.694, -12.460, -4.558, -6.787, -5.163, -2.854, -6.413 eV/atom.